{"formula": "CuTc2NiO8", "functional": "PBE with a Hubbard U", "state": "relaxed", "lattice": [[-3.139, 3.139, 4.115], [3.139, -3.139, 4.115], [3.139, 3.139, -4.115]], "species": ["Cu", "Tc", "Tc", "Ni", "O", "O", "O", "O", "O", "O", "O", "O"], "fractional_positions": [[0.000, 0.000, 0.000], [0.250, 0.750, 0.500], [0.500, 0.500, 0.000], [0.750, 0.250, 0.500], [0.127, 0.397, 0.270], [0.127, 0.857, 0.730], [0.143, 0.873, 0.270], [0.148, 0.376, 0.772], [0.603, 0.376, 0.228], [0.603, 0.873, 0.730], [0.624, 0.397, 0.772], [0.624, 0.852, 0.228]], "total_magnetization_mub_per_fu": 1.0, "energy_ev_per_atom": -6.6559}